1.
Here is a relaxed TlCoBiAu crystal from OQMD. Energies are from PBE-GGA.

Values from the calculation:
Its uncorrected energy is -14.9 eV per cell. The value obtained for the energy above the most stable polymorph in this dataset is 0.0 kJ per mole of atoms.

Lattice parameters (Å, degrees): 4.947 4.947 4.947 60.00 60.00 60.00
Fractional positions:
1 Au 0.750 0.750 0.750
2 Co 0.250 0.250 0.250
3 Bi 0.000 0.000 0.000
4 Tl 0.500 0.500 0.500

2.
Here is a relaxed YNbNiPb crystal from OQMD. Energies are from PBE-GGA.

Values from the calculation:
Its uncorrected energy is -24.5 eV per cell.

Lattice parameters (Å, degrees): 4.888 4.888 4.888 60.00 60.00 60.00
Fractional positions:
1 Nb 0.250 0.250 0.250
2 Y 0.500 0.500 0.500
3 Ni 0.750 0.750 0.750
4 Pb 0.000 0.000 0.000

3.
Here is a relaxed TaPS crystal from OQMD. Energies are from PBE-GGA.

Values from the calculation:
Its uncorrected energy is -18.6 eV per cell.

Lattice parameters (Å, degrees): 3.327 3.327 4.968 90.00 90.00 90.00
Fractional positions:
1 Ta 0.000 0.000 0.500
2 S 0.500 0.500 0.000
3 P 0.000 0.000 0.000